Entry 1:
Below is an optimized crystal structure of Tb2ErSb, with properties calculated at the PBE-GGA level.

Calculated values
ΔE_f (raw), eV/atom: -0.323
Space group: No. 160
Total energy, eV per atom: -4.810
Energy relative to the lowest polymorph listed for this composition, eV/f.u.: 0.84
Total magnetization, μB per cell: 0.80

a = 4.0004 Å, b = 4.0004 Å, c = 9.7150 Å
α = 78.12°, β = 78.12°, γ = 60.00°
Site moments in Bohr magnetons follow the coordinates.
Fractional coordinates of all 4 atoms:
Tb: 0.0686 0.0686 0.7941  0.19
Tb: 0.2648 0.2648 0.2057  0.03
Er: 0.5003 0.5003 0.4991  0.28
Sb: 0.6663 0.6663 0.0011  0.00

---

Entry 2:
Below is an optimized crystal structure of In2TcPt, with properties calculated at the PBE-GGA level.

Calculated values
ΔE_f, kJ per mole of atoms: 11.09
Space group: No. 12
Total energy, eV per atom: -5.356
Total magnetization, μB per cell: 0.11

a = 4.7500 Å, b = 4.7500 Å, c = 5.4884 Å
α = 79.90°, β = 79.90°, γ = 36.56°
Site moments in Bohr magnetons follow the coordinates.
Fractional coordinates of all 4 atoms:
In: 0.0002 0.0002 0.0009  0.00
In: 0.4998 0.4998 0.4991  0.00
Pt: 0.7500 0.7500 0.7500  0.01
Tc: 0.2500 0.2500 0.2500  0.10